1.
# GaTe4, relaxed, DFT PBE
data_GaTe4
_chemical_formula_sum 'Ga1 Te4'
_symmetry_space_group_name_H-M 'P m -3 m'
_symmetry_Int_Tables_number 221
_symmetry_space_group_name_Hall '-P 4 2 3'
_cell_length_a 5.368
_cell_length_b 5.368
_cell_length_c 5.368
_cell_angle_alpha 90.00
_cell_angle_beta 90.00
_cell_angle_gamma 90.00
loop_
_atom_site_label
_atom_site_type_symbol
_atom_site_fract_x
_atom_site_fract_y
_atom_site_fract_z
_atom_site_occupancy
Ga1 Ga 0.000 0.000 0.000 1
Te1 Te 0.000 0.000 0.500 1
Te2 Te 0.500 0.500 0.500 1
# E_form (uncorrected) = 0.40 eV/atom
# Mass density = 6.23 g cm⁻³
# Total magnetization = 0.0 μB/f.u.
# Calculated total energy = -13.6 eV for the cell shown

=====

2.
# GaTe, relaxed, DFT PBE
data_GaTe
_chemical_formula_sum 'Ga4 Te4'
_symmetry_space_group_name_H-M 'F -4 3 m'
_symmetry_Int_Tables_number 216
_symmetry_space_group_name_Hall 'F -4 2 3'
_cell_length_a 6.629
_cell_length_b 6.629
_cell_length_c 6.629
_cell_angle_alpha 90.00
_cell_angle_beta 90.00
_cell_angle_gamma 90.00
loop_
_atom_site_label
_atom_site_type_symbol
_atom_site_fract_x
_atom_site_fract_y
_atom_site_fract_z
_atom_site_occupancy
Ga1 Ga 0.000 0.000 0.000 1
Te1 Te 0.250 0.250 0.750 1
# E_form (uncorrected) = -0.07 eV/atom
# Mass density = 4.50 g cm⁻³
# Total magnetization = 0.0 μB/f.u.
# Calculated total energy = -25.3 eV for the cell shown